# 1
## La2PRu (PBE)

Data for crystalline La2PRu at its relaxed geometry.

Cell and atoms, written as CIF:
```
data_La2PRu
_chemical_formula_sum 'La2 P1 Ru1'
_symmetry_space_group_name_H-M 'P 1'
_symmetry_Int_Tables_number 1
_symmetry_space_group_name_Hall 'P 1'
_cell_length_a 4.880
_cell_length_b 4.880
_cell_length_c 3.855
_cell_angle_alpha 90.00
_cell_angle_beta 90.00
_cell_angle_gamma 90.00
loop_
_atom_site_label
_atom_site_type_symbol
_atom_site_fract_x
_atom_site_fract_y
_atom_site_fract_z
La1 La 0.500 0.000 0.000
La2 La 0.000 0.500 0.000
P1 P 0.500 0.500 0.500
Ru1 Ru 0.000 0.000 0.500
```

uncorrected energy	-26.92	eV/cell
theoretical density	7.4	g/cm³
calculated formation energy	-595	meV/atom



# 2
## Al2CuCl (PBE)

Data for crystalline Al2CuCl at its relaxed geometry.

Cell and atoms, written as CIF:
```
data_Al2CuCl
_chemical_formula_sum 'Al4 Cu2 Cl2'
_symmetry_space_group_name_H-M 'P 1'
_symmetry_Int_Tables_number 1
_symmetry_space_group_name_Hall 'P 1'
_cell_length_a 6.040
_cell_length_b 6.040
_cell_length_c 6.801
_cell_angle_alpha 63.64
_cell_angle_beta 63.64
_cell_angle_gamma 90.00
loop_
_atom_site_label
_atom_site_type_symbol
_atom_site_fract_x
_atom_site_fract_y
_atom_site_fract_z
Al1 Al 0.675 0.125 0.250
Al2 Al 0.075 0.625 0.250
Al3 Al 0.375 0.325 0.750
Al4 Al 0.875 0.925 0.750
Cu1 Cu 0.000 0.000 0.000
Cu2 Cu 0.750 0.250 0.500
Cl1 Cl 0.500 0.500 0.000
Cl2 Cl 0.250 0.750 0.500
```

excess energy over the best structure of this formula in the dataset	1.384	eV per formula unit
uncorrected energy	-25.90	eV/cell
raw formation energy	12	kJ/mol of atoms
theoretical density	2.6	g/cm³